# CaCr2CdO8 PBE with a Hubbard U optimized geometry
# - E_tot (eV per atom) = -6.358
data_CaCr2CdO8
_chemical_formula_sum 'Ca2 Cr4 Cd2 O16'
_space_group_name_H-M_alt 'I -4 m 2'
_space_group_IT_number 119
_space_group_name_Hall 'I -4 -2'
_cell_length_a 7.246
_cell_length_b 7.246
_cell_length_c 6.369
_cell_angle_alpha 90.00
_cell_angle_beta 90.00
_cell_angle_gamma 90.00
loop_
_atom_site_label
_atom_site_type_symbol
_atom_site_fract_x
_atom_site_fract_y
_atom_site_fract_z
Ca1 Ca 0.000 0.000 0.000
Cr1 Cr 0.000 0.000 0.500
Cr2 Cr 0.000 0.500 0.250
Cd1 Cd 0.000 0.500 0.750
O1 O 0.000 0.183 0.660
O2 O 0.000 0.316 0.093